Record 1
Entry from the Alexandria database: a relaxed structure of FeSi2Br (PBE).

abc: 5.6548 5.6548 5.6548
angles: 151.32 125.75 62.51
Closest atoms and distances in Å follow each position.
Fractional coordinates of all 4 atoms:
Fe (0.0000, 0.0000, 0.0000)  2 Si 2.36, 2 Br 2.50
Si (0.5564, 0.5564, 0.0000)  4 Si 2.77-2.80, 4 Fe 2.98, 2 Br 3.00
Si (0.8038, 0.3038, 0.5000)  2 Fe 2.36
Br (0.2146, 0.7146, 0.5000)  2 Fe 2.50, 2 Br 2.80

The value obtained for the volume is 70 Å³/cell. For the density of states at the Fermi level, the calculation gives 2.65 states/eV/cell. The value obtained for the offset from the most stable computed form is 148.2 kJ/mol of formula units. The value obtained for the total energy is -18.596 eV for the cell shown. As for the raw formation energy: 2.385 eV/f.u. The space-group type is Imm2 (44).


Record 2
Entry from the Alexandria database: a relaxed structure of FeSi2Br (PBE).

abc: 4.7831 4.7831 2.9658
angles: 90.00 90.00 106.68
Closest atoms and distances in Å follow each position.
Fractional coordinates of all 4 atoms:
Fe (0.0000, 0.0000, 0.0000)  8 Si 2.81, 2 Br 2.86, 2 Fe 2.97
Si (0.0000, 0.5000, 0.5000)  4 Fe 2.81, 4 Br 2.81, 4 Si 2.86-2.97
Si (0.5000, 0.0000, 0.5000)  4 Fe 2.81, 4 Br 2.81, 4 Si 2.86-2.97
Br (0.5000, 0.5000, 0.0000)  8 Si 2.81, 2 Fe 2.86, 2 Br 2.97

The value obtained for the volume is 65 Å³/cell. For the density of states at the Fermi level, the calculation gives 2.75 states/eV/cell. The value obtained for the offset from the most stable computed form is 214.2 kJ/mol of formula units. The value obtained for the total energy is -17.913 eV for the cell shown. As for the raw formation energy: 3.069 eV/f.u. The space-group type is Cmmm (65).


Record 3
Entry from the Alexandria database: a relaxed structure of FeSi2Br (PBE).

abc: 4.5100 4.5100 4.5100
angles: 120.10 120.10 89.82
Closest atoms and distances in Å follow each position.
Fractional coordinates of all 4 atoms:
Fe (0.0000, 0.0000, 0.0000)  4 Br 2.76, 4 Si 2.76
Si (0.2500, 0.7500, 0.5000)  4 Si 2.76, 4 Fe 2.76
Si (0.5000, 0.5000, 0.0000)  4 Br 2.76, 4 Si 2.76
Br (0.7500, 0.2500, 0.5000)  4 Si 2.76, 4 Fe 2.76

The value obtained for the volume is 65 Å³/cell. For the density of states at the Fermi level, the calculation gives 4.34 states/eV/cell. The value obtained for the offset from the most stable computed form is 237.8 kJ/mol of formula units. The value obtained for the total energy is -17.668 eV for the cell shown. As for the raw formation energy: 3.314 eV/f.u. The space-group type is I-4m2 (119).